# Sn2Ru PBE relaxed
data_Sn2Ru
_space_group_name_H-M_alt 'I 4/m m m'
_space_group_IT_number 139
_space_group_name_Hall '-I 4 2'
_cell_length_a 4.501
_cell_length_b 4.501
_cell_length_c 12.975
_cell_angle_alpha 90.00
_cell_angle_beta 90.00
_cell_angle_gamma 90.00
loop_
_atom_site_label
_atom_site_type_symbol
_atom_site_fract_x
_atom_site_fract_y
_atom_site_fract_z
_atom_site_occupancy
Sn1 Sn 0.000 0.500 0.000 1
Sn2 Sn 0.000 0.500 0.250 1
Ru1 Ru 0.000 0.000 0.118 1
# **N(E_F)**: 9.7 states/eV/cell
# **Calculated formation energy**: -55 meV/atom
# **VASP energy**: -5.82 eV per atom